No. 1
# CsLaNb6Br18 (SCAN, single point on PBEsol structure)
data_CsLaNb6Br18
_chemical_formula_sum 'Cs2 La2 Nb12 Br36'
_cell_length_a 9.7487
_cell_length_b 9.7487
_cell_length_c 18.1671
_cell_angle_alpha 90.00
_cell_angle_beta 90.00
_cell_angle_gamma 120.00
_symmetry_space_group_name_H-M 'P -3 1 c'
_symmetry_Int_Tables_number 163
_symmetry_space_group_name_Hall '-P 3 2c'
loop_
_atom_site_label
_atom_site_fract_x
_atom_site_fract_y
_atom_site_fract_z
_atom_site_occupancy
Cs1 0.3333 0.6667 0.2500 1
La1 0.3333 0.6667 0.7500 1
Nb1 0.0323 0.1876 0.5658 1
Br1 0.0385 0.2297 0.3385 1
Br2 0.0680 0.4406 0.6585 1
Br3 0.1509 0.4206 0.0000 1
# - Size of the total moment: 0.0 μB per cell
# - Uncorrected formation energy: -1.291 eV/atom
# - Total energy: -663.5 eV per formula unit
# - V: 1495 Å³/cell

=====

No. 2
# Cs2LaTa6Br15O3 (SCAN, single point on PBEsol structure)
data_Cs2LaTa6Br15O3
_chemical_formula_sum 'Cs4 La2 Ta12 Br30 O6'
_cell_length_a 9.4638
_cell_length_b 9.4638
_cell_length_c 18.0697
_cell_angle_alpha 90.00
_cell_angle_beta 90.00
_cell_angle_gamma 120.00
_symmetry_space_group_name_H-M 'P -3 1 c'
_symmetry_Int_Tables_number 163
_symmetry_space_group_name_Hall '-P 3 2c'
loop_
_atom_site_label
_atom_site_fract_x
_atom_site_fract_y
_atom_site_fract_z
_atom_site_occupancy
Cs1 0.3333 0.6667 0.0445 1
La1 0.3333 0.6667 0.7500 1
Ta1 0.0160 0.1894 0.6862 1
Br1 0.0179 0.2227 0.4133 1
Br2 0.0737 0.4710 0.6179 1
Br3 0.2147 0.4293 0.2500 1
O1 0.1815 0.3631 0.7500 1
# - Size of the total moment: 0.0 μB per cell
# - Uncorrected formation energy: -1.641 eV/atom
# - Total energy: -873.1 eV per formula unit
# - V: 1402 Å³/cell